First-principles (PBE) data for BaCa2Ga6 after structural relaxation, as listed in the Alexandria database.

As for the total energy: -3.0469 eV per atom. As for the distance to the lowest polymorph of the same formula: 0.04 eV per formula unit. The value obtained for the density of states at the Fermi level is 9.83 states/eV/cell. The calculation puts the volume at 463 Å³/cell. Its formation enthalpy at 0 K is -370.6 meV per atom.

It has space group Immm (No. 71), with a = 4.4818 Å, b = 7.9872 Å, c = 12.9431 Å, α = 90.00°, β = 90.00° and γ = 90.00°. The distinct sites, in fractional coordinates, are Ba at (0.0000, 0.0000, 0.0000), Ca at (0.0000, 0.5000, 0.1318), Ga at (0.0000, 0.1639, 0.5000) and Ga at (0.0000, 0.2898, 0.3144).